1.
An optimized crystal structure of Ga2Ni7Pt2Rh. Source: the Alexandria database, functional GGA-PBE.

```
Ga2Ni7Pt2Rh
1.0
-1.192 -1.092 3.270
2.038 -3.015 -0.246
9.804 1.525 8.170
Ga Ni Pt Rh
2 7 2 1
Direct
0.685 0.685 0.315 Ga
0.315 0.315 0.685 Ga
0.500 0.500 0.000 Ni
0.255 0.255 0.500 Ni
0.745 0.745 0.500 Ni
0.850 0.350 0.151 Ni
0.350 0.850 0.151 Ni
0.650 0.150 0.849 Ni
0.150 0.650 0.849 Ni
0.814 0.814 0.685 Pt
0.186 0.186 0.315 Pt
0.000 0.000 0.000 Rh
```

**V**: 13.05 Å³/atom
**DFT formation energy**: -0.104 eV/atom
**Space-group type**: No. 65

***

2.
An optimized crystal structure of NaMoSCl2. Source: the Alexandria database, functional GGA-PBE.

```
NaMoSCl2
1.0
4.813 0.000 0.000
0.000 4.813 0.000
0.000 0.000 5.199
Na Mo S Cl
1 1 1 2
Direct
0.000 0.000 0.000 Na
0.500 0.500 0.500 Mo
0.000 0.000 0.500 S
0.000 0.500 0.000 Cl
0.500 0.000 0.000 Cl
```

**V**: 24.09 Å³/atom
**Energy relative to the lowest polymorph listed for this composition**: 1160 meV/atom
**Formation energy from raw total energies**: 2.3 eV/f.u.
**Space-group type**: No. 123

***

3.
An optimized crystal structure of HoHgBi2. Source: the Alexandria database, functional GGA-PBE.

```
HoHgBi2
1.0
4.530 0.000 0.000
2.265 3.923 0.000
2.265 1.308 9.132
Ho Bi Hg
1 2 1
Direct
0.500 0.500 0.500 Ho
0.103 0.103 0.690 Bi
0.897 0.897 0.310 Bi
0.000 0.000 0.000 Hg
```

**V**: 40.58 Å³/atom
**DFT formation energy**: -0.082 eV/atom
**Energy relative to the lowest polymorph listed for this composition**: 274 meV/atom
**Space-group type**: No. 166

***

4.
An optimized crystal structure of CsIn2HgI6. Source: the Alexandria database, functional GGA-PBE.

```
CsIn2HgI6
1.0
-5.189 1.725 -9.996
-10.527 1.001 4.244
3.386 8.341 1.693
Cs In Hg I
2 4 2 12
Direct
0.617 0.383 0.250 Cs
0.383 0.617 0.750 Cs
0.317 0.141 0.764 In
0.859 0.683 0.736 In
0.683 0.859 0.236 In
0.141 0.317 0.264 In
0.023 0.977 0.250 Hg
0.977 0.023 0.750 Hg
0.914 0.351 0.092 I
0.649 0.086 0.408 I
0.086 0.649 0.908 I
0.351 0.914 0.592 I
0.269 0.135 0.071 I
0.865 0.731 0.429 I
0.731 0.865 0.929 I
0.135 0.269 0.571 I
0.282 0.515 0.310 I
0.485 0.718 0.190 I
0.718 0.485 0.690 I
0.515 0.282 0.810 I
```

**V**: 57.10 Å³/atom
**Formation energy from raw total energies**: -5.9 eV/f.u.
**Space-group type**: No. 15

***

5.
An optimized crystal structure of VCr2W. Source: the Alexandria database, functional GGA-PBE.

```
VCr2W
1.0
4.685 -1.585 2.245
-1.752 4.625 -2.245
0.379 -3.301 4.296
V Cr W
1 2 1
Direct
0.000 0.000 0.000 V
0.756 0.000 0.756 Cr
0.244 0.000 0.244 Cr
0.500 0.000 0.500 W
```

**V**: 14.21 Å³/atom
**DFT formation energy**: 0.802 eV/atom
**Energy relative to the lowest polymorph listed for this composition**: 864 meV/atom
**Space-group type**: No. 71

***

6.
An optimized crystal structure of Te2PBr. Source: the Alexandria database, functional GGA-PBE.

```
Te2PBr
1.0
8.993 0.052 0.031
8.212 3.665 0.031
8.212 1.774 3.207
Br P Te
1 1 2
Direct
0.250 0.250 0.250 Br
0.750 0.750 0.750 P
0.015 0.015 0.015 Te
0.485 0.485 0.485 Te
```

**V**: 25.84 Å³/atom
**Energy relative to the lowest polymorph listed for this composition**: 62 meV/atom
**Formation energy from raw total energies**: 0.6 eV/f.u.
**Space-group type**: No. 166